Here is a relaxed structure of CoTeO3 from Alexandria. Energies are from PBE+U.

```
data_CoTeO3
_cell_length_a 5.385
_cell_length_b 6.065
_cell_length_c 7.563
_cell_angle_alpha 89.99
_cell_angle_beta 90.00
_cell_angle_gamma 90.00
_symmetry_space_group_name_H-M 'P 1'
_symmetry_Int_Tables_number 1
_symmetry_space_group_name_Hall 'P 1'
loop_
_atom_site_label
_atom_site_type_symbol
_atom_site_fract_x
_atom_site_fract_y
_atom_site_fract_z
O1 O 0.363 0.317 0.564
O2 O 0.840 0.447 0.750
Te1 Te 0.487 0.514 0.750
Te2 Te 0.013 0.014 0.750
O3 O 0.863 0.183 0.436
O4 O 0.863 0.183 0.064
O5 O 0.660 0.947 0.750
Co1 Co 0.000 0.500 0.000
O6 O 0.137 0.817 0.936
Te3 Te 0.513 0.486 0.250
Te4 Te 0.987 0.986 0.250
Co2 Co 0.500 0.000 0.000
O7 O 0.637 0.683 0.436
O8 O 0.340 0.053 0.250
Co3 Co 0.000 0.500 0.500
O9 O 0.637 0.683 0.064
O10 O 0.363 0.317 0.936
Co4 Co 0.500 0.000 0.500
O11 O 0.137 0.817 0.564
O12 O 0.160 0.553 0.250
```

Calculated values
As for the mass density: 6.3 Mg/m³. For the volume, the calculation gives 247.0 Å³/cell. The total moment comes out at 3.00 μB/f.u. The total energy comes out at -113.06 eV/cell.